1.
Material: Li3Nd2Ag3
Method: DFT, PBE-GGA
State: relaxed

Output
The calculation puts the total DFT energy (no corrections) at -3.050 eV per atom. The formation energy is -71 meV per atom. For the size of the total moment, the calculation gives 0.00 μB per cell.

POSCAR file:
```
Li3Nd2Ag3
1.0
8.299 0.000 0.000
-4.150 7.187 0.000
0.000 0.000 6.782
Li Nd Ag
6 4 6
Direct
0.000 0.247 0.250
0.000 0.753 0.750
0.247 0.000 0.250
0.247 0.247 0.750
0.753 0.000 0.750
0.753 0.753 0.250
0.333 0.667 0.000
0.333 0.667 0.500
0.667 0.333 0.000
0.667 0.333 0.500
0.000 0.378 0.750
0.000 0.622 0.250
0.378 0.000 0.750
0.378 0.378 0.250
0.622 0.000 0.250
0.622 0.622 0.750
```

2.
Material: Li6NdAg2
Method: DFT, PBE-GGA
State: relaxed

Output
The calculation puts the total DFT energy (no corrections) at -2.546 eV per atom. The formation energy is -107 meV per atom. For the size of the total moment, the calculation gives 0.00 μB per cell.

POSCAR file:
```
Li6NdAg2
1.0
4.093 0.000 0.000
0.000 4.093 0.000
0.000 0.000 11.175
Li Nd Ag
6 1 2
Direct
0.000 0.000 0.000
0.000 0.500 0.211
0.000 0.500 0.789
0.500 0.000 0.211
0.500 0.000 0.789
0.500 0.500 0.000
0.000 0.000 0.500
0.500 0.500 0.372
0.500 0.500 0.628
```

3.
Material: LiNdAg3
Method: DFT, PBE-GGA
State: relaxed

Output
The calculation puts the total DFT energy (no corrections) at -3.190 eV per atom. The value obtained for the relative energy among the computed polymorphs is 47 meV/atom. The formation energy is -143 meV per atom. For the size of the total moment, the calculation gives 0.00 μB per cell.

POSCAR file:
```
LiNdAg3
1.0
3.191 -5.348 0.000
3.191 5.348 0.000
0.000 0.000 6.265
Li Nd Ag
2 2 6
Direct
0.096 0.904 0.750
0.904 0.096 0.250
0.234 0.766 0.250
0.766 0.234 0.750
0.271 0.271 0.000
0.271 0.271 0.500
0.329 0.671 0.750
0.671 0.329 0.250
0.729 0.729 0.000
0.729 0.729 0.500
```

4.
Material: Li7NdAg4
Method: DFT, PBE-GGA
State: relaxed

Output
The calculation puts the total DFT energy (no corrections) at -2.460 eV per atom. The formation energy is 5 meV per atom. For the size of the total moment, the calculation gives 0.00 μB per cell.

POSCAR file:
```
Li7NdAg4
1.0
5.888 -2.533 0.000
5.888 2.533 0.000
-5.362 0.000 7.805
Li Nd Ag
7 1 4
Direct
0.000 0.000 0.000
0.170 0.170 0.593
0.282 0.282 0.133
0.443 0.443 0.608
0.557 0.557 0.392
0.718 0.718 0.867
0.830 0.830 0.407
0.500 0.500 0.000
0.089 0.089 0.802
0.188 0.188 0.327
0.812 0.812 0.673
0.911 0.911 0.198
```

5.
Material: LiNdAg4
Method: DFT, PBE-GGA
State: relaxed

Output
The calculation puts the total DFT energy (no corrections) at -3.171 eV per atom. The value obtained for the relative energy among the computed polymorphs is 8 meV/atom. The formation energy is -156 meV per atom. For the size of the total moment, the calculation gives 0.00 μB per cell.

POSCAR file:
```
LiNdAg4
1.0
3.589 0.000 0.000
0.000 3.589 0.000
0.000 0.000 9.519
Li Nd Ag
1 1 4
Direct
0.000 0.000 0.000
0.500 0.500 0.500
0.000 0.000 0.296
0.000 0.000 0.704
0.500 0.500 0.150
0.500 0.500 0.850
```

6.
Material: LiNdAg
Method: DFT, PBE-GGA
State: relaxed

Output
The calculation puts the total DFT energy (no corrections) at -3.305 eV per atom. The value obtained for the relative energy among the computed polymorphs is 22 meV/atom. The formation energy is -128 meV per atom. For the size of the total moment, the calculation gives 0.00 μB per cell.

POSCAR file:
```
LiNdAg
1.0
4.758 0.000 0.000
-2.379 4.121 0.000
0.000 0.000 3.605
Li Nd Ag
1 1 1
Direct
0.000 0.000 0.000
0.667 0.333 0.500
0.333 0.667 0.000
```